Entry 1:
# Ac4La3HoTe8 PBE optimized geometry
data_Ac4La3HoTe8
_chemical_formula_sum 'Ac12 La9 Ho3 Te24'
_space_group_name_H-M_alt 'R -3 m'
_space_group_IT_number 166
_space_group_name_Hall '-R 3 2"'
_cell_length_a 9.2297
_cell_length_b 9.2297
_cell_length_c 22.8244
_cell_angle_alpha 90.00
_cell_angle_beta 90.00
_cell_angle_gamma 120.00
loop_
_atom_site_label
_atom_site_fract_x
_atom_site_fract_y
_atom_site_fract_z
_atom_site_occupancy
Ac1 0.0000 0.0000 0.0000 1
Ac2 0.0000 0.5000 0.0000 1
La1 0.0000 0.5000 0.5000 1
Ho1 0.0000 0.0000 0.5000 1
Te1 0.0000 0.0000 0.2467 1
Te2 0.0092 0.5046 0.2445 1
# * DOS at the Fermi energy: 34.86 states/eV per cell
# * size of the total moment: 0.0 μB/f.u.
# * formation energy (no corrections): -1.490 eV per atom

Entry 2:
# K3Tl PBE optimized geometry
data_K3Tl
_chemical_formula_sum 'K12 Tl4'
_space_group_name_H-M_alt 'C m c m'
_space_group_IT_number 63
_space_group_name_Hall '-C 2c 2'
_cell_length_a 13.887
_cell_length_b 13.724
_cell_length_c 4.581
_cell_angle_alpha 90.00
_cell_angle_beta 90.00
_cell_angle_gamma 90.00
loop_
_atom_site_label
_atom_site_fract_x
_atom_site_fract_y
_atom_site_fract_z
_atom_site_occupancy
K1 0.000 0.162 0.250 1
K2 0.208 0.377 0.250 1
Tl1 0.000 0.413 0.750 1
# * DOS at the Fermi energy: 13.51 states/eV per cell
# * size of the total moment: 0.0 μB/f.u.
# * energy of formation from the pure elements: -1.8 kJ/mol of atoms

Entry 3:
# Ba2AgRuF PBE optimized geometry
data_Ba2AgRuF
_chemical_formula_sum 'Ba2 Ag1 Ru1 F1'
_space_group_name_H-M_alt 'P 4/m m m'
_space_group_IT_number 123
_space_group_name_Hall '-P 4 2'
_cell_length_a 6.225
_cell_length_b 6.225
_cell_length_c 4.286
_cell_angle_alpha 90.00
_cell_angle_beta 90.00
_cell_angle_gamma 90.00
loop_
_atom_site_label
_atom_site_fract_x
_atom_site_fract_y
_atom_site_fract_z
_atom_site_occupancy
Ba1 0.000 0.500 0.000 1
Ag1 0.000 0.000 0.000 1
Ru1 0.500 0.500 0.500 1
F1 0.000 0.000 0.500 1
# * DOS at the Fermi energy: 8.69 states/eV per cell
# * size of the total moment: 1.3 μB/f.u.
# * formation energy (no corrections): 0.161 eV per atom

Entry 4:
# KSr2ZrPt PBE optimized geometry
data_KSr2ZrPt
_chemical_formula_sum 'K1 Sr2 Zr1 Pt1'
_space_group_name_H-M_alt 'P 4/m m m'
_space_group_IT_number 123
_space_group_name_Hall '-P 4 2'
_cell_length_a 5.880
_cell_length_b 5.880
_cell_length_c 5.140
_cell_angle_alpha 90.00
_cell_angle_beta 90.00
_cell_angle_gamma 90.00
loop_
_atom_site_label
_atom_site_fract_x
_atom_site_fract_y
_atom_site_fract_z
_atom_site_occupancy
K1 0.000 0.000 0.000 1
Sr1 0.000 0.500 0.000 1
Zr1 0.500 0.500 0.500 1
Pt1 0.000 0.000 0.500 1
# * DOS at the Fermi energy: 4.65 states/eV per cell
# * size of the total moment: 3.0 μB/f.u.
# * energy of formation from the pure elements: 110.4 kJ/mol of atoms

Entry 5:
# DyAl2Pd9 PBE optimized geometry
data_DyAl2Pd9
_chemical_formula_sum 'Dy1 Al2 Pd9'
_space_group_name_H-M_alt 'P 4/m m m'
_space_group_IT_number 123
_space_group_name_Hall '-P 4 2'
_cell_length_a 4.009
_cell_length_b 4.009
_cell_length_c 11.798
_cell_angle_alpha 90.00
_cell_angle_beta 90.00
_cell_angle_gamma 90.00
loop_
_atom_site_label
_atom_site_fract_x
_atom_site_fract_y
_atom_site_fract_z
_atom_site_occupancy
Dy1 0.000 0.000 0.000 1
Al1 0.000 0.000 0.343 1
Pd1 0.000 0.500 0.182 1
Pd2 0.000 0.500 0.500 1
Pd3 0.500 0.500 0.000 1
Pd4 0.500 0.500 0.340 1
# * DOS at the Fermi energy: 9.24 states/eV per cell
# * size of the total moment: 0.0 μB/f.u.
# * energy of formation from the pure elements: -66.4 kJ/mol of atoms

Entry 6:
# Li3SbBr PBE optimized geometry
data_Li3SbBr
_chemical_formula_sum 'Li3 Sb1 Br1'
_space_group_name_H-M_alt 'P m -3 m'
_space_group_IT_number 221
_space_group_name_Hall '-P 4 2 3'
_cell_length_a 4.839
_cell_length_b 4.839
_cell_length_c 4.839
_cell_angle_alpha 90.00
_cell_angle_beta 90.00
_cell_angle_gamma 90.00
loop_
_atom_site_label
_atom_site_fract_x
_atom_site_fract_y
_atom_site_fract_z
_atom_site_occupancy
Li1 0.000 0.000 0.500 1
Sb1 0.500 0.500 0.500 1
Br1 0.000 0.000 0.000 1
# * ΔE to the lowest computed polymorph: 0 meV/atom
# * DOS at the Fermi energy: 4.20 states/eV per cell
# * size of the total moment: 0.0 μB/f.u.
# * formation energy (no corrections): -0.636 eV per atom

Number 1: mass density 7428 kg/m³. Number 2: mass density 2447 kg/m³. Number 3: mass density 5026 kg/m³. Number 4: mass density 4678 kg/m³. Number 5: mass density 10281 kg/m³. Number 6: mass density 3260 kg/m³.